Entry 1:
TbEuMgAg | PBE | optimized geometry

Geometry as CIF:
```
data_TbEuMgAg
_chemical_formula_sum 'Tb4 Eu4 Mg4 Ag4'
_space_group_name_H-M_alt 'F -4 3 m'
_space_group_IT_number 216
_space_group_name_Hall 'F -4 2 3'
_cell_length_a 7.6109
_cell_length_b 7.6109
_cell_length_c 7.6109
_cell_angle_alpha 90.00
_cell_angle_beta 90.00
_cell_angle_gamma 90.00
loop_
_atom_site_label
_atom_site_type_symbol
_atom_site_fract_x
_atom_site_fract_y
_atom_site_fract_z
_atom_site_occupancy
Tb1 Tb 0.0000 0.0000 0.0000 1
Eu1 Eu 0.0000 0.0000 0.5000 1
Mg1 Mg 0.2500 0.2500 0.7500 1
Ag1 Ag 0.2500 0.2500 0.2500 1
```

=====

Entry 2:
SrZr2Au | PBE | optimized geometry

Geometry as CIF:
```
data_SrZr2Au
_chemical_formula_sum 'Sr2 Zr4 Au2'
_space_group_name_H-M_alt 'I 4/m m m'
_space_group_IT_number 139
_space_group_name_Hall '-I 4 2'
_cell_length_a 4.2922
_cell_length_b 4.2922
_cell_length_c 10.9107
_cell_angle_alpha 90.00
_cell_angle_beta 90.00
_cell_angle_gamma 90.00
loop_
_atom_site_label
_atom_site_type_symbol
_atom_site_fract_x
_atom_site_fract_y
_atom_site_fract_z
_atom_site_occupancy
Sr1 Sr 0.0000 0.0000 0.0000 1
Zr1 Zr 0.0000 0.5000 0.2500 1
Au1 Au 0.0000 0.0000 0.5000 1
```

Summary:
relative energy among the computed polymorphs: 349.5 meV per atom

=====

Entry 3:
Rb2UTcO6 | PBE | optimized geometry

Geometry as CIF:
```
data_Rb2UTcO6
_chemical_formula_sum 'Rb4 U2 Tc2 O12'
_space_group_name_H-M_alt 'I 4/m m m'
_space_group_IT_number 139
_space_group_name_Hall '-I 4 2'
_cell_length_a 5.8091
_cell_length_b 5.8091
_cell_length_c 11.2254
_cell_angle_alpha 90.00
_cell_angle_beta 90.00
_cell_angle_gamma 90.00
loop_
_atom_site_label
_atom_site_type_symbol
_atom_site_fract_x
_atom_site_fract_y
_atom_site_fract_z
_atom_site_occupancy
Rb1 Rb 0.0000 0.5000 0.2500 1
U1 U 0.0000 0.0000 0.0000 1
Tc1 Tc 0.0000 0.0000 0.5000 1
O1 O 0.0000 0.0000 0.1693 1
O2 O 0.2285 0.2285 0.5000 1
```

Summary:
formation energy (no corrections): -2044 kJ/mol of formula units

=====

Number 1: calculated total energy -4.9636 eV per atom, mass density 6.7 g/cm3. Number 2: calculated total energy -5.3552 eV per atom, mass density 7.7 g/cm3. Number 3: calculated total energy -7.4522 eV per atom, mass density 5.3 g/cm3.